# AcMgPtPb

AcMgPtPb after structural relaxation (PBE-GGA, the Alexandria database).

Values from the calculation:
Calculated volume (Å³/atom): 26.270
Calculated total energy (eV per atom): -4.327

a = 5.297 Å, b = 5.297 Å, c = 5.297 Å
α = 60.00°, β = 60.00°, γ = 60.00°
Fractional coordinates of all 4 atoms:
Pb: 0.500 0.500 0.500
Ac: 0.250 0.250 0.250
Mg: 0.750 0.750 0.750
Pt: 0.000 0.000 0.000

=====

# Cs6KRb9

Cs6KRb9 after structural relaxation (PBE-GGA, the Alexandria database).

Values from the calculation:
Calculated volume (Å³/atom): 99.964
Calculated total energy (eV per atom): -0.909

a = 13.005 Å, b = 13.005 Å, c = 13.191 Å
α = 119.53°, β = 119.53°, γ = 90.00°
Fractional coordinates of all 16 atoms:
Cs: 0.659 0.854 0.000
Cs: 0.341 0.146 0.000
Cs: 0.854 0.341 0.000
Cs: 0.146 0.659 0.000
Cs: 0.756 0.756 0.513
Cs: 0.244 0.244 0.487
K: 0.000 0.000 0.000
Rb: 0.017 0.812 0.338
Rb: 0.321 0.526 0.338
Rb: 0.812 0.321 0.338
Rb: 0.526 0.017 0.338
Rb: 0.983 0.188 0.662
Rb: 0.679 0.474 0.662
Rb: 0.188 0.679 0.662
Rb: 0.474 0.983 0.662
Rb: 0.500 0.500 0.000

=====

# NbN2O2

NbN2O2 after structural relaxation (PBE-GGA, the Alexandria database).

Values from the calculation:
Calculated volume (Å³/atom): 8.718
Relative energy among the computed polymorphs (meV per atom): 1263.6
Formation energy from raw total energies (eV/atom): 1.0829

a = 3.583 Å, b = 3.583 Å, c = 3.395 Å
α = 90.00°, β = 90.00°, γ = 90.00°
Fractional coordinates of all 5 atoms:
Nb: 0.500 0.500 0.500
O: 0.000 0.000 0.000
O: 0.000 0.000 0.500
N: 0.000 0.500 0.000
N: 0.500 0.000 0.000

=====

# NdNF

NdNF after structural relaxation (PBE-GGA, the Alexandria database).

Values from the calculation:
Calculated volume (Å³/atom): 14.874
Formation energy from raw total energies (eV/atom): -2.1194

a = 3.479 Å, b = 6.181 Å, c = 4.325 Å
α = 90.00°, β = 90.00°, γ = 106.35°
Each line ends with the local moment (μB).
Fractional coordinates of all 6 atoms:
N: 0.000 0.000 0.000  0.09
N: 0.000 0.000 0.500  0.09
F: 0.728 0.456 0.250  0.00
F: 0.272 0.544 0.750  0.00
Nd: 0.383 0.767 0.250  -0.01
Nd: 0.617 0.233 0.750  -0.01

=====

# Mg4ReCl

Mg4ReCl after structural relaxation (PBE-GGA, the Alexandria database).

Values from the calculation:
Calculated volume (Å³/atom): 19.758
Formation energy from raw total energies (eV/atom): 0.6159

a = 5.514 Å, b = 5.514 Å, c = 5.514 Å
α = 60.00°, β = 60.00°, γ = 60.00°
Fractional coordinates of all 6 atoms:
Mg: 0.377 0.869 0.377
Mg: 0.869 0.377 0.377
Mg: 0.377 0.377 0.869
Mg: 0.377 0.377 0.377
Re: 0.750 0.750 0.750
Cl: 0.000 0.000 0.000

=====

# Ac6GaPt4

Ac6GaPt4 after structural relaxation (PBE-GGA, the Alexandria database).

Values from the calculation:
Calculated volume (Å³/atom): 32.815
Calculated total energy (eV per atom): -5.667

a = 4.378 Å, b = 7.663 Å, c = 22.451 Å
α = 90.00°, β = 90.00°, γ = 106.60°
Fractional coordinates of all 22 atoms:
Ac: 0.500 0.000 0.000
Ac: 0.500 0.000 0.500
Ac: 0.043 0.086 0.340
Ac: 0.957 0.914 0.660
Ac: 0.957 0.914 0.840
Ac: 0.043 0.086 0.160
Ac: 0.772 0.544 0.417
Ac: 0.228 0.456 0.583
Ac: 0.228 0.456 0.917
Ac: 0.772 0.544 0.083
Ac: 0.322 0.644 0.250
Ac: 0.678 0.356 0.750
Ga: 0.657 0.313 0.250
Ga: 0.343 0.687 0.750
Pt: 0.863 0.726 0.542
Pt: 0.406 0.813 0.127
Pt: 0.137 0.274 0.458
Pt: 0.594 0.187 0.873
Pt: 0.863 0.726 0.958
Pt: 0.137 0.274 0.042
Pt: 0.594 0.187 0.627
Pt: 0.406 0.813 0.373

=====

# Mn2RuAu

Mn2RuAu after structural relaxation (PBE-GGA, the Alexandria database).

Values from the calculation:
Calculated volume (Å³/atom): 14.473
Calculated total energy (eV per atom): -7.555

a = 4.131 Å, b = 2.779 Å, c = 5.232 Å
α = 74.57°, β = 90.00°, γ = 90.00°
Each line ends with the local moment (μB).
Fractional coordinates of all 4 atoms:
Au: 0.500 0.799 0.778  0.00
Mn: 0.000 0.185 0.006  2.96
Mn: 0.500 0.057 0.261  -3.06
Ru: 0.000 0.460 0.455  -0.03